No. 1
# BiCCl2

A crystal of BiCCl2 relaxed with PBEsol (SCAN, Alexandria).

Cell lengths 8.904, 8.904, 8.904 Å; angles 90.00, 90.00, 90.00 degrees
Space group Fd-3m (No. 227, origin choice 2)
Unique sites:
1 Bi 0.125 0.125 0.125
2 C 0.125 0.125 0.625
3 Cl 0.000 0.000 0.500

V = 22.1 Å³/atom
E_form (uncorrected) = 1.251 eV per atom

=====

No. 2
# CoBiC2Cl

A crystal of CoBiC2Cl relaxed with PBEsol (SCAN, Alexandria).

Cell lengths 3.855, 3.855, 4.755 Å; angles 90.00, 90.00, 90.00 degrees
Space group P4/mmm (No. 123)
Unique sites:
1 Co 0.000 0.000 0.000
2 Bi 0.500 0.500 0.500
3 C 0.000 0.500 0.000
4 Cl 0.000 0.000 0.500

V = 14.1 Å³/atom
E_form (uncorrected) = 1.610 eV per atom

=====

Q: Among the records above, which one has the highest E_form (uncorrected)?
A: CoBiC2Cl

=====

Copy entry 1 word for word.
# BiCCl2

A crystal of BiCCl2 relaxed with PBEsol (SCAN, Alexandria).

Cell lengths 8.904, 8.904, 8.904 Å; angles 90.00, 90.00, 90.00 degrees
Space group Fd-3m (No. 227, origin choice 2)
Unique sites:
1 Bi 0.125 0.125 0.125
2 C 0.125 0.125 0.625
3 Cl 0.000 0.000 0.500

V = 22.1 Å³/atom
E_form (uncorrected) = 1.251 eV per atom

=====

Q: What is the V in the first record?
A: 22.1 Å³/atom

=====

Q: Number 1 is which compound?
A: BiCCl2